! Sm2InBi4 (GGA-PBE, optimized geometry); values from VASP
! electronic total energy: -0.1576 hartree per atom
! M_tot: 0.0 μB/f.u.
! formation energy from the elements: -332 meV/atom
! DOS at the Fermi energy: 4.6 states/eV/f.u.
&SYSTEM
  ibrav = 0, nat = 7, ntyp = 3
/
ATOMIC_SPECIES
In 114.82 In.upf
Bi 208.98 Bi.upf
Sm 150.36 Sm.upf
ATOMIC_POSITIONS crystal
In 0.000 0.000 0.000
Bi 0.580 0.342 0.160
Bi 0.420 0.658 0.840
Bi 0.146 0.727 0.292
Bi 0.854 0.273 0.708
Sm 0.213 0.249 0.425
Sm 0.787 0.751 0.575
CELL_PARAMETERS angstrom
4.628 0.000 0.000
0.000 6.374 0.299
-2.314 -2.729 7.818